[1]
Density functional theory data (GGA-PBE) for crystalline TaGaBi at its relaxed geometry.

Summary:
polymorph energy (0 for the lowest one): 0.00 eV per formula unit

```
data_TaGaBi
_cell_length_a 6.6943
_cell_length_b 6.6943
_cell_length_c 6.6943
_cell_angle_alpha 90.00
_cell_angle_beta 90.00
_cell_angle_gamma 90.00
_space_group_name_H-M_alt 'F -4 3 m'
_space_group_IT_number 216
_space_group_name_Hall 'F -4 2 3'
loop_
_atom_site_label
_atom_site_type_symbol
_atom_site_fract_x
_atom_site_fract_y
_atom_site_fract_z
_atom_site_occupancy
Ta1 Ta 0.0000 0.0000 0.0000 1
Ga1 Ga 0.2500 0.2500 0.2500 1
Bi1 Bi 0.2500 0.2500 0.7500 1
```

[2]
Density functional theory data (GGA-PBE) for crystalline BeNi2 at its relaxed geometry.

Summary:
total energy: -62.717 eV per cell

```
data_BeNi2
_cell_length_a 5.1513
_cell_length_b 5.1513
_cell_length_c 4.2829
_cell_angle_alpha 90.00
_cell_angle_beta 90.00
_cell_angle_gamma 90.00
_space_group_name_H-M_alt 'I 4/m c m'
_space_group_IT_number 140
_space_group_name_Hall '-I 4 2c'
loop_
_atom_site_label
_atom_site_type_symbol
_atom_site_fract_x
_atom_site_fract_y
_atom_site_fract_z
_atom_site_occupancy
Be1 Be 0.0000 0.0000 0.2500 1
Ni1 Ni 0.1600 0.3400 0.0000 1
```

Number 1: total moment 0.07 μB/cell. Number 2: total moment 0.00 μB/cell.